Arrangement 1

Here is a geometry-optimized Na3CaOs structure from the Alexandria database. Energies are from GGA-PBE. Values from VASP.

Quantum ESPRESSO input file:
```
&SYSTEM
  ibrav = 0, nat = 5, ntyp = 3
/
ATOMIC_SPECIES
Na 22.99 Na.upf
Ca 40.08 Ca.upf
Os 190.23 Os.upf
ATOMIC_POSITIONS crystal
Na 0.0000 0.0000 0.5000
Na 0.0000 0.5000 0.0000
Na 0.5000 0.0000 0.0000
Ca 0.5000 0.5000 0.5000
Os 0.0000 0.0000 0.0000
CELL_PARAMETERS angstrom
5.4880 0.0000 0.0000
0.0000 5.4880 0.0000
0.0000 0.0000 5.4880
```


Arrangement 2

Here is a geometry-optimized Na3CaOs structure from the Alexandria database. Energies are from GGA-PBE. Values from VASP.

Quantum ESPRESSO input file:
```
&SYSTEM
  ibrav = 0, nat = 5, ntyp = 3
/
ATOMIC_SPECIES
Na 22.99 Na.upf
Ca 40.08 Ca.upf
Os 190.23 Os.upf
ATOMIC_POSITIONS crystal
Na 0.0000 0.0000 0.5000
Na 0.0000 0.5000 0.0000
Na 0.5000 0.0000 0.0000
Ca 0.0000 0.0000 0.0000
Os 0.5000 0.5000 0.5000
CELL_PARAMETERS angstrom
5.6638 0.0000 0.0000
0.0000 5.6638 0.0000
0.0000 0.0000 5.6638
```


List of relative energies, unit meV per atom: arrangement 1 0; arrangement 2 765


Arrangement 1

Here is a geometry-optimized NaCaOs2 structure from the Alexandria database. Energies are from GGA-PBE. Values from VASP.

Quantum ESPRESSO input file:
```
&SYSTEM
  ibrav = 0, nat = 16, ntyp = 3
/
ATOMIC_SPECIES
Na 22.99 Na.upf
Ca 40.08 Ca.upf
Os 190.23 Os.upf
ATOMIC_POSITIONS crystal
Na 0.0000 0.0000 0.0000
Na 0.0000 0.5000 0.5000
Na 0.5000 0.0000 0.5000
Na 0.5000 0.5000 0.0000
Ca 0.0000 0.0000 0.5000
Ca 0.0000 0.5000 0.0000
Ca 0.5000 0.0000 0.0000
Ca 0.5000 0.5000 0.5000
Os 0.2500 0.2500 0.2500
Os 0.2500 0.2500 0.7500
Os 0.2500 0.7500 0.2500
Os 0.2500 0.7500 0.7500
Os 0.7500 0.2500 0.2500
Os 0.7500 0.2500 0.7500
Os 0.7500 0.7500 0.2500
Os 0.7500 0.7500 0.7500
CELL_PARAMETERS angstrom
6.7034 0.0000 0.0000
0.0000 6.7034 0.0000
0.0000 0.0000 6.7034
```


Arrangement 2

Here is a geometry-optimized NaCaOs2 structure from the Alexandria database. Energies are from GGA-PBE. Values from VASP.

Quantum ESPRESSO input file:
```
&SYSTEM
  ibrav = 0, nat = 16, ntyp = 3
/
ATOMIC_SPECIES
Na 22.99 Na.upf
Ca 40.08 Ca.upf
Os 190.23 Os.upf
ATOMIC_POSITIONS crystal
Na 0.0000 0.0000 0.0000
Na 0.0000 0.5000 0.2500
Na 0.5000 0.0000 0.7500
Na 0.5000 0.5000 0.5000
Ca 0.0000 0.0000 0.5000
Ca 0.0000 0.5000 0.7500
Ca 0.5000 0.0000 0.2500
Ca 0.5000 0.5000 0.0000
Os 0.2285 0.2500 0.1250
Os 0.2500 0.7285 0.3750
Os 0.2500 0.7715 0.8750
Os 0.2715 0.2500 0.6250
Os 0.7285 0.7500 0.6250
Os 0.7500 0.2285 0.8750
Os 0.7500 0.2715 0.3750
Os 0.7715 0.7500 0.1250
CELL_PARAMETERS angstrom
8.0735 0.0000 0.0000
0.0000 8.0735 0.0000
0.0000 0.0000 4.9623
```


List of relative energies, unit meV per atom: arrangement 1 229; arrangement 2 0


Arrangement 1

Here is a geometry-optimized NaCa3P structure from the Alexandria database. Energies are from GGA-PBE. Values from VASP.

Quantum ESPRESSO input file:
```
&SYSTEM
  ibrav = 0, nat = 10, ntyp = 3
/
ATOMIC_SPECIES
Na 22.99 Na.upf
Ca 40.08 Ca.upf
P 30.97 P.upf
ATOMIC_POSITIONS crystal
Na 0.1779 0.1779 0.1779
Na 0.8221 0.8221 0.8221
Ca 0.1058 0.7155 0.3775
Ca 0.2845 0.6225 0.8942
Ca 0.3775 0.1058 0.7155
Ca 0.6225 0.8942 0.2845
Ca 0.7155 0.3775 0.1058
Ca 0.8942 0.2845 0.6225
P 0.3189 0.3189 0.3189
P 0.6811 0.6811 0.6811
CELL_PARAMETERS angstrom
3.6704 2.1191 7.3316
-3.6704 2.1191 7.3316
0.0000 -4.2382 7.3316
```


Arrangement 2

Here is a geometry-optimized NaCa3P structure from the Alexandria database. Energies are from GGA-PBE. Values from VASP.

Quantum ESPRESSO input file:
```
&SYSTEM
  ibrav = 0, nat = 10, ntyp = 3
/
ATOMIC_SPECIES
Na 22.99 Na.upf
Ca 40.08 Ca.upf
P 30.97 P.upf
ATOMIC_POSITIONS crystal
Na 0.1884 0.1884 0.0000
Na 0.8116 0.8116 0.0000
Ca 0.0379 0.5379 0.5000
Ca 0.1203 0.3691 0.7512
Ca 0.4621 0.9621 0.5000
Ca 0.6178 0.3691 0.2488
Ca 0.6309 0.3822 0.7512
Ca 0.6309 0.8797 0.2488
P 0.5000 0.5000 0.0000
P 0.7500 0.2500 0.5000
CELL_PARAMETERS angstrom
-3.1890 3.1890 9.4686
3.1890 -3.1890 9.4686
3.1890 3.1890 -9.4686
```


Arrangement 3

Here is a geometry-optimized NaCa3P structure from the Alexandria database. Energies are from GGA-PBE. Values from VASP.

Quantum ESPRESSO input file:
```
&SYSTEM
  ibrav = 0, nat = 20, ntyp = 3
/
ATOMIC_SPECIES
Na 22.99 Na.upf
Ca 40.08 Ca.upf
P 30.97 P.upf
ATOMIC_POSITIONS crystal
Na 0.0000 0.0000 0.0000
Na 0.0000 0.0000 0.5000
Na 0.0000 0.5000 0.0000
Na 0.5000 0.0000 0.0000
Ca 0.1817 0.1817 0.5683
Ca 0.1817 0.5683 0.1817
Ca 0.1817 0.5683 0.5683
Ca 0.4317 0.4317 0.8183
Ca 0.4317 0.8183 0.4317
Ca 0.4317 0.8183 0.8183
Ca 0.5683 0.1817 0.1817
Ca 0.5683 0.1817 0.5683
Ca 0.5683 0.5683 0.1817
Ca 0.8183 0.4317 0.4317
Ca 0.8183 0.4317 0.8183
Ca 0.8183 0.8183 0.4317
P 0.0000 0.5000 0.5000
P 0.5000 0.0000 0.5000
P 0.5000 0.5000 0.0000
P 0.5000 0.5000 0.5000
CELL_PARAMETERS angstrom
0.0000 7.4519 7.4519
7.4519 0.0000 7.4519
7.4519 7.4519 0.0000
```


Arrangement 4

Here is a geometry-optimized NaCa3P structure from the Alexandria database. Energies are from GGA-PBE. Values from VASP.

Quantum ESPRESSO input file:
```
&SYSTEM
  ibrav = 0, nat = 5, ntyp = 3
/
ATOMIC_SPECIES
Na 22.99 Na.upf
Ca 40.08 Ca.upf
P 30.97 P.upf
ATOMIC_POSITIONS crystal
Na 0.0000 0.0000 0.0000
Ca 0.0000 0.0000 0.5000
Ca 0.0000 0.5000 0.0000
Ca 0.5000 0.0000 0.0000
P 0.5000 0.5000 0.5000
CELL_PARAMETERS angstrom
5.6871 0.0000 0.0000
0.0000 5.6871 0.0000
0.0000 0.0000 5.6871
```


List of relative energies, unit meV per atom: arrangement 1 0; arrangement 2 275; arrangement 3 90; arrangement 4 1059


Arrangement 1

Here is a geometry-optimized NaCaP3 structure from the Alexandria database. Energies are from GGA-PBE. Values from VASP.

Quantum ESPRESSO input file:
```
&SYSTEM
  ibrav = 0, nat = 5, ntyp = 3
/
ATOMIC_SPECIES
Na 22.99 Na.upf
Ca 40.08 Ca.upf
P 30.97 P.upf
ATOMIC_POSITIONS crystal
Na 0.0000 0.0000 0.0000
Ca 0.5000 0.5000 0.5000
P 0.0000 0.0000 0.5000
P 0.0000 0.5000 0.0000
P 0.5000 0.0000 0.0000
CELL_PARAMETERS angstrom
4.8736 0.0000 0.0000
0.0000 4.8736 0.0000
0.0000 0.0000 4.8736
```


Arrangement 2

Here is a geometry-optimized NaCaP3 structure from the Alexandria database. Energies are from GGA-PBE. Values from VASP.

Quantum ESPRESSO input file:
```
&SYSTEM
  ibrav = 0, nat = 5, ntyp = 3
/
ATOMIC_SPECIES
Na 22.99 Na.upf
Ca 40.08 Ca.upf
P 30.97 P.upf
ATOMIC_POSITIONS crystal
Na 0.0000 0.0000 0.0000
Ca 0.5000 0.5000 0.5000
P 0.0000 0.5000 0.5000
P 0.5000 0.0000 0.5000
P 0.5000 0.5000 0.0000
CELL_PARAMETERS angstrom
5.2584 0.0000 0.0000
0.0000 5.2584 0.0000
0.0000 0.0000 5.2584
```


List of relative energies, unit meV per atom: arrangement 1 0; arrangement 2 53


Arrangement 1

Here is a geometry-optimized Na3CaP structure from the Alexandria database. Energies are from GGA-PBE. Values from VASP.

Quantum ESPRESSO input file:
```
&SYSTEM
  ibrav = 0, nat = 5, ntyp = 3
/
ATOMIC_SPECIES
Na 22.99 Na.upf
Ca 40.08 Ca.upf
P 30.97 P.upf
ATOMIC_POSITIONS crystal
Na 0.0000 0.0000 0.5000
Na 0.0000 0.5000 0.0000
Na 0.5000 0.0000 0.0000
Ca 0.0000 0.0000 0.0000
P 0.5000 0.5000 0.5000
CELL_PARAMETERS angstrom
5.9203 0.0000 0.0000
0.0000 5.9203 0.0000
0.0000 0.0000 5.9203
```


Arrangement 2

Here is a geometry-optimized Na3CaP structure from the Alexandria database. Energies are from GGA-PBE. Values from VASP.

Quantum ESPRESSO input file:
```
&SYSTEM
  ibrav = 0, nat = 5, ntyp = 3
/
ATOMIC_SPECIES
Na 22.99 Na.upf
Ca 40.08 Ca.upf
P 30.97 P.upf
ATOMIC_POSITIONS crystal
Na 0.0000 0.0000 0.5000
Na 0.0000 0.5000 0.0000
Na 0.5000 0.0000 0.0000
Ca 0.5000 0.5000 0.5000
P 0.0000 0.0000 0.0000
CELL_PARAMETERS angstrom
5.5360 0.0000 0.0000
0.0000 5.5360 0.0000
0.0000 0.0000 5.5360
```


List of relative energies, unit meV per atom: arrangement 1 1013; arrangement 2 0